The following is a DFT calculation (PBE-GGA) of a relaxed NaBi7Pd5 crystal.

Properties
* magnetization: 0.000 Bohr magnetons per cell
* DOS(E_F): 6.1 states/eV/cell
* ΔH_f (0 K): -0.1908 eV/atom

Cell: 6.008 7.851 7.851 Å, 79.90 67.51 67.51°
Fractional coordinates of all 13 atoms:
Bi 0.534 0.790 0.141
Pd 0.507 0.999 0.487
Bi 0.268 0.232 0.232
Bi 0.976 0.353 0.694
Pd 0.751 0.749 0.749
Bi 0.976 0.694 0.353
Bi 0.314 0.686 0.686
Pd 0.007 0.487 0.999
Na 0.975 0.025 0.025
Bi 0.643 0.357 0.357
Bi 0.534 0.141 0.790
Pd 0.007 0.999 0.487
Pd 0.507 0.487 0.999

The following is a DFT calculation (PBE-GGA) of a relaxed Pm8SnBi4Te3 crystal.

Properties
* magnetization: 0.000 Bohr magnetons per cell
* DOS(E_F): 2.1 states/eV/cell
* ΔE_f (raw): -1128 meV per atom

Cell: 9.066 9.058 9.067 Å, 120.03 120.00 90.00°
Fractional coordinates of all 16 atoms:
Pm 0.249 0.247 0.498
Bi 0.000 0.000 0.000
Pm 0.247 0.747 0.001
Bi 0.500 0.000 0.500
Pm 0.754 0.253 0.507
Pm 0.751 0.753 0.502
Pm 0.246 0.253 0.999
Bi 0.500 0.000 0.000
Pm 0.753 0.253 0.999
Bi 0.000 0.000 0.500
Pm 0.754 0.747 0.001
Te 0.000 0.500 0.500
Sn 0.000 0.500 0.000
Te 0.500 0.500 0.500
Te 0.500 0.500 0.000
Pm 0.246 0.747 0.493

The following is a DFT calculation (PBE-GGA) of a relaxed LaZr2Sc crystal.

Properties
* magnetization: 0.000 Bohr magnetons per cell
* DOS(E_F): 4.7 states/eV/cell
* ΔH_f (0 K): 0.1132 eV/atom
* energy above the most stable polymorph in this dataset: 1.50 kJ per mole of atoms

Cell: 5.721 5.721 5.839 Å, 82.43 82.43 33.24°
Fractional coordinates of all 4 atoms:
Zr 0.506 0.506 0.477
La 0.750 0.750 0.750
Zr 0.994 0.994 0.023
Sc 0.250 0.250 0.250

The following is a DFT calculation (PBE-GGA) of a relaxed Pm4Sm3Sc4 crystal.

Properties
* magnetization: 0.000 Bohr magnetons per cell
* DOS(E_F): 14.0 states/eV/cell
* ΔH_f (0 K): 0.1932 eV/atom

Cell: 5.563 6.073 11.356 Å, 90.00 90.00 117.26°
Fractional coordinates of all 11 atoms:
Sc 0.557 0.115 0.000
Sc 0.077 0.155 0.752
Sc 0.655 0.311 0.500
Sm 0.392 0.784 0.678
Pm 0.944 0.887 0.000
Sc 0.077 0.155 0.248
Pm 0.736 0.472 0.223
Pm 0.981 0.961 0.500
Sm 0.392 0.784 0.322
Pm 0.736 0.472 0.777
Sm 0.251 0.501 0.000

The following is a DFT calculation (PBE-GGA) of a relaxed Sc2Bi2Sb crystal.

Properties
* magnetization: 0.000 Bohr magnetons per cell
* DOS(E_F): 6.1 states/eV/cell
* ΔE_f (raw): -483 meV per atom
* energy above the most stable polymorph in this dataset: 0.00 kJ per mole of atoms

Cell: 7.837 7.837 4.292 Å, 90.00 90.00 90.00°
Fractional coordinates of all 10 atoms:
Sc 0.344 0.844 0.000
Sc 0.844 0.656 0.000
Bi 0.847 0.347 0.500
Bi 0.653 0.847 0.500
Sb 0.500 0.500 0.000
Sb 0.000 0.000 0.000
Bi 0.153 0.653 0.500
Sc 0.656 0.156 0.000
Bi 0.347 0.153 0.500
Sc 0.156 0.344 0.000

The following is a DFT calculation (PBE-GGA) of a relaxed CsAg5Cl8 crystal.

Properties
* magnetization: 2.108 Bohr magnetons per cell
* DOS(E_F): 23.9 states/eV/cell
* ΔE_f (raw): -527 meV per atom
* energy above the most stable polymorph in this dataset: 10.12 kJ per mole of atoms

Cell: 8.287 8.287 8.287 Å, 60.00 60.00 60.00°
Fractional coordinates of all 14 atoms:
Ag 0.000 0.000 0.000
Cl 0.865 0.865 0.406
Ag 0.627 0.627 0.120
Ag 0.627 0.120 0.627
Cl 0.401 0.401 0.798
Ag 0.627 0.627 0.627
Cl 0.798 0.401 0.401
Cl 0.401 0.798 0.401
Cl 0.865 0.406 0.865
Cs 0.250 0.250 0.250
Cl 0.865 0.865 0.865
Ag 0.120 0.627 0.627
Cl 0.401 0.401 0.401
Cl 0.406 0.865 0.865

The following is a DFT calculation (PBE-GGA) of a relaxed Ta3VOs crystal.

Properties
* magnetization: 0.000 Bohr magnetons per cell
* DOS(E_F): 13.2 states/eV/cell
* ΔH_f (0 K): -0.2055 eV/atom
* energy above the most stable polymorph in this dataset: 0.00 kJ per mole of atoms

Cell: 7.836 6.962 6.962 Å, 81.04 67.98 67.98°
Fractional coordinates of all 20 atoms:
Ta 0.045 0.180 0.423
Os 0.750 0.129 0.871
Ta 0.955 0.820 0.577
Os 0.250 0.871 0.129
Ta 0.058 0.666 0.922
Ta 0.351 0.225 0.973
Ta 0.455 0.577 0.820
Ta 0.942 0.334 0.078
V 0.350 0.722 0.473
V 0.650 0.278 0.527
Ta 0.558 0.922 0.666
Os 0.750 0.621 0.379
Ta 0.649 0.775 0.027
V 0.850 0.473 0.722
Ta 0.442 0.078 0.334
Ta 0.149 0.027 0.775
Ta 0.545 0.423 0.180
V 0.150 0.527 0.278
Ta 0.851 0.973 0.225
Os 0.250 0.379 0.621

The following is a DFT calculation (PBE-GGA) of a relaxed Ce3TcC4 crystal.

Properties
* magnetization: 0.551 Bohr magnetons per cell
* DOS(E_F): 10.2 states/eV/cell
* ΔH_f (0 K): -0.1861 eV/atom

Cell: 3.717 3.957 8.847 Å, 95.10 102.13 90.00°
Fractional coordinates of all 8 atoms:
Ce 0.674 0.224 0.349
C 0.815 0.264 0.631
C 0.891 0.206 0.783
Ce 0.500 0.500 0.000
Tc 0.000 0.000 0.000
C 0.185 0.736 0.369
Ce 0.326 0.776 0.651
C 0.109 0.794 0.217

The following is a DFT calculation (PBE-GGA) of a relaxed Pm6AgRh3 crystal.

Properties
* magnetization: 0.000 Bohr magnetons per cell
* DOS(E_F): 13.7 states/eV/cell
* ΔH_f (0 K): -0.4991 eV/atom
* energy above the most stable polymorph in this dataset: 0.00 kJ per mole of atoms

Cell: 4.154 11.943 11.979 Å, 108.54 90.00 90.00°
Fractional coordinates of all 20 atoms:
Ag 0.750 0.063 0.698
Rh 0.250 0.304 0.491
Rh 0.750 0.458 0.832
Pm 0.750 0.388 0.045
Rh 0.750 0.696 0.509
Pm 0.250 0.539 0.400
Pm 0.250 0.064 0.900
Pm 0.750 0.710 0.264
Pm 0.250 0.869 0.543
Rh 0.250 0.842 0.931
Pm 0.250 0.290 0.736
Pm 0.250 0.612 0.955
Ag 0.250 0.937 0.302
Pm 0.750 0.131 0.457
Pm 0.750 0.771 0.769
Pm 0.750 0.936 0.100
Rh 0.250 0.542 0.168
Pm 0.750 0.461 0.600
Pm 0.250 0.229 0.231
Rh 0.750 0.158 0.069